Entry 1:
# Er2Fe6Co6P7

A geometry-optimized Er2Fe6Co6P7 structure (PBE-GGA, the Alexandria database).

Unit cell a=8.9598 b=8.9598 c=3.6049 alpha=90.00 beta=90.00 gamma=120.00
Closest atoms and distances in Å follow each position.
Fractional positions:
Er1 0.0000 0.0000 0.0000  6 P 2.81, 6 Co 2.91, 3 Fe 3.07
Er2 0.3333 0.6667 0.5000  6 P 2.83, 6 Fe 2.96, 3 Co 3.05
Fe1 0.1007 0.7185 0.0000  4 P 2.24-2.30
Fe2 0.2815 0.3822 0.0000  4 P 2.24-2.30
Fe3 0.4478 0.2095 0.0000  5 P 2.26-2.53
Fe4 0.6178 0.8993 0.0000  4 P 2.24-2.30
Fe5 0.7617 0.5522 0.0000  5 P 2.26-2.53
Fe6 0.7905 0.2383 0.0000  5 P 2.26-2.53
Co1 0.0354 0.2709 0.5000  4 P 2.22-2.31
Co2 0.2355 0.9646 0.5000  4 P 2.22-2.31
Co3 0.5106 0.4515 0.5000  4 P 2.13-2.27
Co4 0.5485 0.0591 0.5000  4 P 2.13-2.27
Co5 0.7291 0.7645 0.5000  4 P 2.22-2.31
Co6 0.9409 0.4894 0.5000  4 P 2.13-2.27
P1 0.0705 0.4477 0.0000  3 Fe 2.24-2.30, 4 Co 2.27-2.31
P2 0.2568 0.2220 0.5000  3 Co 2.17-2.23, 2 Fe 2.24
P3 0.3773 0.9295 0.0000  3 Fe 2.24-2.30, 4 Co 2.27-2.31
P4 0.5523 0.6227 0.0000  3 Fe 2.24-2.30, 4 Co 2.27-2.31
P5 0.6667 0.3333 0.5000  3 Co 2.13
P6 0.7780 0.0348 0.5000  3 Co 2.17-2.23, 2 Fe 2.24
P7 0.9652 0.7432 0.5000  3 Co 2.17-2.23, 2 Fe 2.24

**Formation enthalpy at 0 K**: -16.62 eV/f.u.

***

Entry 2:
# CeSb3Au8

A geometry-optimized CeSb3Au8 structure (PBE-GGA, the Alexandria database).

Unit cell a=5.6188 b=5.6188 c=9.5677 alpha=90.00 beta=90.00 gamma=120.00
Closest atoms and distances in Å follow each position.
Fractional positions:
Ce1 0.0000 0.0000 0.0000  12 Au 3.25-3.43, 4 Sb 3.31-3.62
Sb1 0.0000 0.0000 0.3782  12 Au 3.26-3.51, 3 Sb 3.43, 1 Ce 3.62
Sb2 0.6667 0.3333 0.4944  12 Au 3.20-3.45, 3 Sb 3.43
Sb3 0.6667 0.3333 0.9314  6 Au 3.08-3.25, 3 Ce 3.31
Au1 0.1645 0.3289 0.7043  6 Au 2.77-2.91
Au2 0.1645 0.8355 0.7043  6 Au 2.77-2.91
Au3 0.3333 0.6667 0.4571  6 Au 2.88-2.91
Au4 0.3333 0.6667 0.9556  6 Au 2.90-2.91
Au5 0.5013 0.0025 0.2059  6 Au 2.79-2.91, 1 Sb 3.08
Au6 0.5013 0.4987 0.2059  6 Au 2.79-2.91, 1 Sb 3.08
Au7 0.6711 0.8355 0.7043  6 Au 2.77-2.91
Au8 0.9975 0.4987 0.2059  6 Au 2.79-2.91, 1 Sb 3.08

**Uncorrected formation energy**: -15 kJ/mol of atoms

***

Entry 3:
# Pm4Pr8Tm

A geometry-optimized Pm4Pr8Tm structure (PBE-GGA, the Alexandria database).

Unit cell a=7.9304 b=7.9304 c=7.9304 alpha=97.32 beta=97.32 gamma=97.32
Closest atoms and distances in Å follow each position.
Fractional positions:
Pm1 0.0000 0.0000 0.0000  2 Pr 2.86
Pm2 0.0000 0.5000 0.5000  6 Pr 3.44-3.61
Pm3 0.5000 0.0000 0.5000  6 Pr 3.44-3.61
Pm4 0.5000 0.5000 0.0000  6 Pr 3.44-3.61
Pr1 0.1691 0.1691 0.6688  3 Pm 3.44, 3 Pr 3.44-3.61
Pr2 0.1691 0.6688 0.1691  3 Pm 3.44, 3 Pr 3.44-3.61
Pr3 0.2414 0.2414 0.2414  1 Pm 2.86, 1 Tm 3.07
Pr4 0.3312 0.8309 0.8309  3 Pm 3.44, 3 Pr 3.44-3.61
Pr5 0.6688 0.1691 0.1691  3 Pm 3.44, 3 Pr 3.44-3.61
Pr6 0.7586 0.7586 0.7586  1 Pm 2.86, 1 Tm 3.07
Pr7 0.8309 0.3312 0.8309  3 Pm 3.44, 3 Pr 3.44-3.61
Pr8 0.8309 0.8309 0.3312  3 Pm 3.44, 3 Pr 3.44-3.61
Tm1 0.5000 0.5000 0.5000  2 Pr 3.07

**Formation enthalpy at 0 K**: 5.13 eV/f.u.

***

Entry 4:
# Ba2Cd2NiH4

A geometry-optimized Ba2Cd2NiH4 structure (PBE-GGA, the Alexandria database).

Unit cell a=6.1098 b=6.1098 c=6.1098 alpha=114.82 beta=114.82 gamma=99.23
Closest atoms and distances in Å follow each position.
Fractional positions:
Ba1 0.2500 0.7500 0.5000  8 H 3.13, 4 Cd 3.35
Ba2 0.7500 0.2500 0.5000  8 H 3.13, 4 Cd 3.35
Cd1 0.1697 0.1697 0.0000  1 Ni 2.61, 1 Cd 2.69
Cd2 0.8303 0.8303 0.0000  1 Ni 2.61, 1 Cd 2.69
Ni1 0.5000 0.5000 0.0000  4 H 1.62
H1 0.3255 0.3255 0.6510  1 Ni 1.62
H2 0.3255 0.6745 0.0000  1 Ni 1.62
H3 0.6745 0.3255 0.0000  1 Ni 1.62
H4 0.6745 0.6745 0.3490  1 Ni 1.62

**Raw total energy**: -2.893 eV per atom

***

Entry 5:
# SbS2Br

A geometry-optimized SbS2Br structure (PBE-GGA, the Alexandria database).

Unit cell a=4.8858 b=4.8858 c=4.8858 alpha=60.00 beta=60.00 gamma=60.00
Closest atoms and distances in Å follow each position.
Fractional positions:
Sb1 0.0000 0.0000 0.0000  8 S 2.99
S1 0.2500 0.2500 0.2500  4 Br 2.99, 4 Sb 2.99
S2 0.7500 0.7500 0.7500  4 Br 2.99, 4 Sb 2.99
Br1 0.5000 0.5000 0.5000  8 S 2.99

**Uncorrected formation energy**: 48 kJ/mol of atoms

***

Entry 6:
# NaCd6Pd5

A geometry-optimized NaCd6Pd5 structure (PBE-GGA, the Alexandria database).

Unit cell a=4.7661 b=6.3670 c=7.4248 alpha=90.00 beta=104.77 gamma=90.00
Closest atoms and distances in Å follow each position.
Fractional positions:
Na1 0.0000 0.0000 0.0000  8 Cd 2.89-2.99, 4 Pd 3.16-3.18
Cd1 0.1887 0.2547 0.3485  7 Pd 2.84-2.96, 1 Na 2.99, 1 Cd 3.12
Cd2 0.1887 0.7453 0.3485  7 Pd 2.84-2.96, 1 Na 2.99, 1 Cd 3.12
Cd3 0.5000 0.2577 0.0000  6 Pd 2.78-2.85, 2 Na 2.89, 1 Cd 3.09
Cd4 0.5000 0.7423 0.0000  6 Pd 2.78-2.85, 2 Na 2.89, 1 Cd 3.09
Cd5 0.8113 0.2547 0.6515  7 Pd 2.84-2.96, 1 Na 2.99, 1 Cd 3.12
Cd6 0.8113 0.7453 0.6515  7 Pd 2.84-2.96, 1 Na 2.99, 1 Cd 3.12
Pd1 0.0000 0.5000 0.0000  8 Cd 2.84-2.96, 2 Pd 3.13
Pd2 0.3184 0.5000 0.6801  8 Cd 2.78-2.87
Pd3 0.3245 0.0000 0.6777  8 Cd 2.85-2.90, 1 Na 3.16, 2 Pd 3.18
Pd4 0.6755 0.0000 0.3223  8 Cd 2.85-2.90, 1 Na 3.16, 2 Pd 3.18
Pd5 0.6816 0.5000 0.3199  8 Cd 2.78-2.87

**Formation enthalpy at 0 K**: -4.02 eV/f.u.

***

Entry 7:
# NdHo2Tl2

A geometry-optimized NdHo2Tl2 structure (PBE-GGA, the Alexandria database).

Unit cell a=3.7924 b=5.4606 c=14.2001 alpha=90.00 beta=97.69 gamma=90.00
Closest atoms and distances in Å follow each position.
Fractional positions:
Nd1 0.1470 0.2500 0.2968  6 Tl 3.32-3.45, 2 Ho 3.70
Nd2 0.8530 0.7500 0.7032  6 Tl 3.32-3.45, 2 Ho 3.70
Ho1 0.0497 0.7500 0.0996  8 Tl 3.26-3.33
Ho2 0.2367 0.7500 0.4738  2 Tl 3.22, 4 Ho 3.40-3.41
Ho3 0.7633 0.2500 0.5262  2 Tl 3.22, 4 Ho 3.40-3.41
Ho4 0.9503 0.2500 0.9004  8 Tl 3.26-3.33
Tl1 0.3564 0.2500 0.7114  4 Ho 3.22-3.27, 4 Nd 3.32-3.33
Tl2 0.4529 0.7500 0.9075  6 Ho 3.30-3.33, 2 Nd 3.44-3.45
Tl3 0.5471 0.2500 0.0925  6 Ho 3.30-3.33, 2 Nd 3.44-3.45
Tl4 0.6436 0.7500 0.2886  4 Ho 3.22-3.27, 4 Nd 3.32-3.33

**Formation enthalpy at 0 K**: -1.39 eV/f.u.

***

Entry 8:
# Li2MgGe

A geometry-optimized Li2MgGe structure (PBE-GGA, the Alexandria database).

Unit cell a=4.5561 b=4.5561 c=4.5561 alpha=60.00 beta=60.00 gamma=60.00
Closest atoms and distances in Å follow each position.
Fractional positions:
Li1 0.0000 0.0000 0.0000  4 Mg 2.79, 4 Li 2.79
Li2 0.2500 0.2500 0.2500  4 Ge 2.79, 4 Li 2.79
Mg1 0.7500 0.7500 0.7500  4 Ge 2.79, 4 Li 2.79
Ge1 0.5000 0.5000 0.5000  4 Mg 2.79, 4 Li 2.79

**Formation enthalpy at 0 K**: -1.31 eV/f.u.